Material: Mg2V3O9
Method: DFT, PBE with a Hubbard U
State: relaxed

The electronic total energy comes out at -97.49 eV per formula unit. As for the calculated volume: 14.21 Å³ per atom.

```
Mg2V3O9
1.0
6.5327 0.0000 0.0000
-3.2663 5.6575 0.0000
0.0000 0.0000 10.7684
Mg V O
4 6 18
Cartesian
0.0000 3.7717 0.0391 Mg
0.0000 3.7717 5.3451 Mg
3.2663 1.8858 5.4233 Mg
3.2663 1.8858 10.7293 Mg
-2.2680 4.0214 2.6921 V
0.9177 1.6826 2.6921 V
1.9161 0.0465 8.0763 V
1.3503 5.6109 2.6921 V
2.3486 3.9748 8.0763 V
5.5343 1.6361 8.0763 V
-2.4393 4.3076 8.0763 O
-1.8404 3.3151 1.1643 O
-1.8404 3.3151 4.2199 O
0.7556 1.3912 8.0763 O
1.5826 0.0413 2.6921 O
1.3156 2.4061 1.1643 O
1.3156 2.4061 4.2199 O
2.7416 0.0637 6.5485 O
2.7416 0.0637 9.6041 O
0.5248 5.5937 1.1643 O
0.5248 5.5937 4.2199 O
1.9507 3.2513 6.5485 O
1.9507 3.2513 9.6041 O
1.6838 5.6162 8.0763 O
2.5108 4.2663 2.6921 O
5.1067 2.3424 6.5485 O
5.1067 2.3424 9.6041 O
5.7057 1.3499 2.6921 O
```